[1]
Entry from the Alexandria database: an optimized crystal structure of Tl2InCl3O (PBE).

Summary:
The formation energy from raw total energies is -1017 meV/atom.

a = 4.0228 Å, b = 5.4223 Å, c = 9.1751 Å
α = 107.19°, β = 102.66°, γ = 90.00°
Closest atoms and distances in Å follow each position.
Positions (direct):
Cl: 0.1591 0.1591 0.3182  1 In 2.71
Cl: 0.0000 0.5000 0.0000  2 In 2.71
Cl: 0.8409 0.8409 0.6818  1 In 2.71
Tl: 0.3521 0.3521 0.7042  7 Cl 3.23-3.38
Tl: 0.6479 0.6479 0.2958  7 Cl 3.23-3.38
O: 0.5000 0.0000 0.0000  2 In 2.01
In: 0.0000 0.0000 0.0000  2 O 2.01

[2]
Entry from the Alexandria database: an optimized crystal structure of PaInCo2 (PBE).

Summary:
For the formation energy, the calculation gives -0.10 eV per atom. As for the density of states at the Fermi level: 4.328 states/eV per cell.

a = 3.2300 Å, b = 4.5678 Å, c = 4.5678 Å
α = 90.00°, β = 90.00°, γ = 90.00°
Closest atoms and distances in Å follow each position.
Positions (direct):
In: 0.5000 0.5000 0.5000  8 Co 2.80
Pa: 0.5000 0.0000 0.0000  8 Co 2.80
Co: 0.0000 0.5000 0.0000  4 In 2.80, 4 Pa 2.80
Co: 0.0000 0.0000 0.5000  4 In 2.80, 4 Pa 2.80

[3]
Entry from the Alexandria database: an optimized crystal structure of TmNbPd6 (PBE).

Summary:
For the formation energy, the calculation gives -0.67 eV per atom. As for the density of states at the Fermi level: 2.707 states/eV per cell.

a = 4.0247 Å, b = 4.0247 Å, c = 8.0932 Å
α = 90.00°, β = 90.00°, γ = 90.00°
Closest atoms and distances in Å follow each position.
Positions (direct):
Pd: 0.0000 0.5000 0.7379  2 Nb 2.79, 8 Pd 2.79-2.92, 2 Tm 2.92
Pd: 0.5000 0.0000 0.7379  8 Pd 2.79-2.92, 2 Nb 2.79, 2 Tm 2.92
Pd: 0.5000 0.5000 0.0000  4 Tm 2.85, 8 Pd 2.92
Pd: 0.5000 0.0000 0.2621  2 Nb 2.79, 8 Pd 2.79-2.92, 2 Tm 2.92
Pd: 0.0000 0.5000 0.2621  2 Nb 2.79, 8 Pd 2.79-2.92, 2 Tm 2.92
Pd: 0.5000 0.5000 0.5000  8 Pd 2.79, 4 Nb 2.85
Tm: 0.0000 0.0000 0.0000  12 Pd 2.85-2.92
Nb: 0.0000 0.0000 0.5000  12 Pd 2.79-2.85